Record 1
Entry from Alexandria via LeMat-Bulk: CaZn2Si after structural relaxation (PBE-GGA).

```
data_CaZn2Si
_chemical_formula_sum 'Ca4 Zn8 Si4'
_cell_length_a 6.723
_cell_length_b 6.723
_cell_length_c 6.723
_cell_angle_alpha 90.00
_cell_angle_beta 90.00
_cell_angle_gamma 90.00
_symmetry_space_group_name_H-M 'F -4 3 m'
_symmetry_Int_Tables_number 216
_symmetry_space_group_name_Hall 'F -4 2 3'
loop_
_atom_site_label
_atom_site_type_symbol
_atom_site_fract_x
_atom_site_fract_y
_atom_site_fract_z
Ca1 Ca 0.000 0.000 0.000
Zn1 Zn 0.000 0.000 0.500
Zn2 Zn 0.250 0.250 0.750
Si1 Si 0.250 0.250 0.250
```

- total magnetic moment (μB per cell) = 0.00
- formation energy (no corrections) (eV per atom) = -0.045
- crystal system = cubic
- electronic total energy (eV/atom) = -2.538



Record 2
Entry from Alexandria via LeMat-Bulk: Ca2Zn2Si3 after structural relaxation (PBE-GGA).

```
data_Ca2Zn2Si3
_chemical_formula_sum 'Ca8 Zn8 Si12'
_cell_length_a 4.458
_cell_length_b 18.148
_cell_length_c 6.706
_cell_angle_alpha 90.00
_cell_angle_beta 90.00
_cell_angle_gamma 90.00
_symmetry_space_group_name_H-M 'C m c m'
_symmetry_Int_Tables_number 63
_symmetry_space_group_name_Hall '-C 2c 2'
loop_
_atom_site_label
_atom_site_type_symbol
_atom_site_fract_x
_atom_site_fract_y
_atom_site_fract_z
Ca1 Ca 0.000 0.050 0.250
Ca2 Ca 0.000 0.154 0.750
Zn1 Zn 0.000 0.313 0.557
Si1 Si 0.000 0.224 0.250
Si2 Si 0.000 0.441 0.074
```

- total magnetic moment (μB per cell) = 0.00
- formation energy (no corrections) (eV per atom) = -0.356
- crystal system = orthorhombic
- electronic total energy (eV/atom) = -3.616



Record 3
Entry from Alexandria via LeMat-Bulk: Ca4Zn3Si after structural relaxation (PBE-GGA).

```
data_Ca4Zn3Si
_chemical_formula_sum 'Ca4 Zn3 Si1'
_cell_length_a 4.293
_cell_length_b 4.356
_cell_length_c 11.139
_cell_angle_alpha 90.00
_cell_angle_beta 90.00
_cell_angle_gamma 90.00
_symmetry_space_group_name_H-M 'P m m 2'
_symmetry_Int_Tables_number 25
_symmetry_space_group_name_Hall 'P 2 -2'
loop_
_atom_site_label
_atom_site_type_symbol
_atom_site_fract_x
_atom_site_fract_y
_atom_site_fract_z
Ca1 Ca 0.000 0.000 0.000
Ca2 Ca 0.000 0.500 0.481
Ca3 Ca 0.500 0.000 0.700
Ca4 Ca 0.500 0.500 0.208
Zn1 Zn 0.000 0.500 0.786
Zn2 Zn 0.500 0.000 0.405
Zn3 Zn 0.500 0.500 0.912
Si1 Si 0.000 0.000 0.279
```

- total magnetic moment (μB per cell) = 0.00
- formation energy (no corrections) (eV per atom) = -0.307
- crystal system = orthorhombic
- electronic total energy (eV/atom) = -2.463



Record 4
Entry from Alexandria via LeMat-Bulk: Ca2Zn5Si3 after structural relaxation (PBE-GGA).

```
data_Ca2Zn5Si3
_chemical_formula_sum 'Ca2 Zn5 Si3'
_cell_length_a 4.159
_cell_length_b 4.159
_cell_length_c 10.783
_cell_angle_alpha 90.00
_cell_angle_beta 90.00
_cell_angle_gamma 90.00
_symmetry_space_group_name_H-M 'P -4 m 2'
_symmetry_Int_Tables_number 115
_symmetry_space_group_name_Hall 'P -4 -2'
loop_
_atom_site_label
_atom_site_type_symbol
_atom_site_fract_x
_atom_site_fract_y
_atom_site_fract_z
Ca1 Ca 0.000 0.500 0.247
Zn1 Zn 0.000 0.000 0.500
Zn2 Zn 0.000 0.500 0.643
Zn3 Zn 0.500 0.500 0.000
Zn4 Zn 0.500 0.500 0.500
Si1 Si 0.000 0.000 0.000
Si2 Si 0.000 0.500 0.870
```

- total magnetic moment (μB per cell) = 0.00
- formation energy (no corrections) (eV per atom) = -0.215
- crystal system = tetragonal
- electronic total energy (eV/atom) = -2.879



Record 5
Entry from Alexandria via LeMat-Bulk: Ca8ZnSi2 after structural relaxation (PBE-GGA).

```
data_Ca8ZnSi2
_chemical_formula_sum 'Ca16 Zn2 Si4'
_cell_length_a 4.919
_cell_length_b 8.696
_cell_length_c 15.139
_cell_angle_alpha 90.00
_cell_angle_beta 90.00
_cell_angle_gamma 90.00
_symmetry_space_group_name_H-M 'I m m m'
_symmetry_Int_Tables_number 71
_symmetry_space_group_name_Hall '-I 2 2'
loop_
_atom_site_label
_atom_site_type_symbol
_atom_site_fract_x
_atom_site_fract_y
_atom_site_fract_z
Ca1 Ca 0.000 0.000 0.140
Ca2 Ca 0.000 0.208 0.339
Ca3 Ca 0.000 0.322 0.000
Zn1 Zn 0.000 0.500 0.500
Si1 Si 0.000 0.500 0.197
```

- total magnetic moment (μB per cell) = 0.00
- formation energy (no corrections) (eV per atom) = -0.148
- crystal system = orthorhombic
- electronic total energy (eV/atom) = -2.706



Record 6
Entry from Alexandria via LeMat-Bulk: CaZn2Si after structural relaxation (PBE-GGA).

```
data_CaZn2Si
_chemical_formula_sum 'Ca2 Zn4 Si2'
_cell_length_a 4.439
_cell_length_b 5.206
_cell_length_c 6.802
_cell_angle_alpha 90.00
_cell_angle_beta 90.00
_cell_angle_gamma 90.00
_symmetry_space_group_name_H-M 'I m m 2'
_symmetry_Int_Tables_number 44
_symmetry_space_group_name_Hall 'I 2 -2'
loop_
_atom_site_label
_atom_site_type_symbol
_atom_site_fract_x
_atom_site_fract_y
_atom_site_fract_z
Ca1 Ca 0.000 0.000 0.000
Zn1 Zn 0.000 0.000 0.525
Zn2 Zn 0.000 0.500 0.785
Si1 Si 0.000 0.500 0.216
```

- total magnetic moment (μB per cell) = 0.00
- formation energy (no corrections) (eV per atom) = -0.055
- crystal system = orthorhombic
- electronic total energy (eV/atom) = -2.548



Record 7
Entry from Alexandria via LeMat-Bulk: CaZn2Si after structural relaxation (PBE-GGA).

```
data_CaZn2Si
_chemical_formula_sum 'Ca2 Zn4 Si2'
_cell_length_a 7.241
_cell_length_b 4.184
_cell_length_c 5.916
_cell_angle_alpha 90.00
_cell_angle_beta 114.14
_cell_angle_gamma 90.00
_symmetry_space_group_name_H-M 'C 1 m 1'
_symmetry_Int_Tables_number 8
_symmetry_space_group_name_Hall 'C -2y'
loop_
_atom_site_label
_atom_site_type_symbol
_atom_site_fract_x
_atom_site_fract_y
_atom_site_fract_z
Ca1 Ca 0.000 0.000 0.000
Zn1 Zn 0.216 0.000 0.647
Zn2 Zn 0.483 0.000 0.450
Si1 Si 0.287 0.500 0.360
```

- total magnetic moment (μB per cell) = 0.00
- formation energy (no corrections) (eV per atom) = -0.199
- crystal system = monoclinic
- electronic total energy (eV/atom) = -2.692



Record 8
Entry from Alexandria via LeMat-Bulk: Ca8Zn2Si after structural relaxation (PBE-GGA).

```
data_Ca8Zn2Si
_chemical_formula_sum 'Ca16 Zn4 Si2'
_cell_length_a 5.006
_cell_length_b 8.585
_cell_length_c 15.610
_cell_angle_alpha 90.00
_cell_angle_beta 90.00
_cell_angle_gamma 90.00
_symmetry_space_group_name_H-M 'I m m m'
_symmetry_Int_Tables_number 71
_symmetry_space_group_name_Hall '-I 2 2'
loop_
_atom_site_label
_atom_site_type_symbol
_atom_site_fract_x
_atom_site_fract_y
_atom_site_fract_z
Ca1 Ca 0.000 0.000 0.134
Ca2 Ca 0.000 0.220 0.336
Ca3 Ca 0.000 0.310 0.000
Zn1 Zn 0.000 0.500 0.188
Si1 Si 0.000 0.500 0.500
```

- total magnetic moment (μB per cell) = 0.00
- formation energy (no corrections) (eV per atom) = -0.095
- crystal system = orthorhombic
- electronic total energy (eV/atom) = -2.275



Record 9
Entry from Alexandria via LeMat-Bulk: Ca2Zn3Si after structural relaxation (PBE-GGA).

```
data_Ca2Zn3Si
_chemical_formula_sum 'Ca16 Zn24 Si8'
_cell_length_a 7.391
_cell_length_b 8.897
_cell_length_c 15.364
_cell_angle_alpha 90.00
_cell_angle_beta 90.00
_cell_angle_gamma 90.00
_symmetry_space_group_name_H-M 'F m m m'
_symmetry_Int_Tables_number 69
_symmetry_space_group_name_Hall '-F 2 2'
loop_
_atom_site_label
_atom_site_type_symbol
_atom_site_fract_x
_atom_site_fract_y
_atom_site_fract_z
Ca1 Ca 0.244 0.000 0.000
Ca2 Ca 0.250 0.250 0.250
Zn1 Zn 0.000 0.000 0.169
Zn2 Zn 0.000 0.245 0.416
Si1 Si 0.000 0.000 0.335
```

- total magnetic moment (μB per cell) = 0.00
- formation energy (no corrections) (eV per atom) = -0.343
- crystal system = orthorhombic
- electronic total energy (eV/atom) = -2.551



Record 10
Entry from Alexandria via LeMat-Bulk: Ca2ZnSi2 after structural relaxation (PBE-GGA).

```
data_Ca2ZnSi2
_chemical_formula_sum 'Ca4 Zn2 Si4'
_cell_length_a 6.912
_cell_length_b 6.912
_cell_length_c 4.558
_cell_angle_alpha 90.00
_cell_angle_beta 90.00
_cell_angle_gamma 90.00
_symmetry_space_group_name_H-M 'P 4/m b m'
_symmetry_Int_Tables_number 127
_symmetry_space_group_name_Hall '-P 4 2ab'
loop_
_atom_site_label
_atom_site_type_symbol
_atom_site_fract_x
_atom_site_fract_y
_atom_site_fract_z
Ca1 Ca 0.174 0.326 0.000
Zn1 Zn 0.000 0.000 0.500
Si1 Si 0.124 0.624 0.500
```

- ΔE to the lowest computed polymorph (kJ/mol of atoms) = 8.0
- total magnetic moment (μB per cell) = 0.00
- formation energy (no corrections) (eV per atom) = -0.353
- crystal system = tetragonal
- electronic total energy (eV/atom) = -3.578



Record 11
Entry from Alexandria via LeMat-Bulk: Ca2ZnSi2 after structural relaxation (PBE-GGA).

```
data_Ca2ZnSi2
_chemical_formula_sum 'Ca4 Zn2 Si4'
_cell_length_a 5.887
_cell_length_b 5.887
_cell_length_c 7.319
_cell_angle_alpha 90.00
_cell_angle_beta 90.00
_cell_angle_gamma 90.00
_symmetry_space_group_name_H-M 'I 4/m m m'
_symmetry_Int_Tables_number 139
_symmetry_space_group_name_Hall '-I 4 2'
loop_
_atom_site_label
_atom_site_type_symbol
_atom_site_fract_x
_atom_site_fract_y
_atom_site_fract_z
Ca1 Ca 0.000 0.500 0.250
Zn1 Zn 0.000 0.000 0.000
Si1 Si 0.000 0.000 0.337
```

- ΔE to the lowest computed polymorph (kJ/mol of atoms) = 41.7
- total magnetic moment (μB per cell) = 0.00
- formation energy (no corrections) (eV per atom) = -0.004
- crystal system = tetragonal
- electronic total energy (eV/atom) = -3.229



Record 12
Entry from Alexandria via LeMat-Bulk: CaZn2Si after structural relaxation (PBE-GGA).

```
data_CaZn2Si
_chemical_formula_sum 'Ca1 Zn2 Si1'
_cell_length_a 4.203
_cell_length_b 4.203
_cell_length_c 4.286
_cell_angle_alpha 90.00
_cell_angle_beta 90.00
_cell_angle_gamma 90.00
_symmetry_space_group_name_H-M 'P 4/m m m'
_symmetry_Int_Tables_number 123
_symmetry_space_group_name_Hall '-P 4 2'
loop_
_atom_site_label
_atom_site_type_symbol
_atom_site_fract_x
_atom_site_fract_y
_atom_site_fract_z
Ca1 Ca 0.000 0.000 0.000
Zn1 Zn 0.000 0.500 0.500
Si1 Si 0.500 0.500 0.000
```

- total magnetic moment (μB per cell) = 0.00
- formation energy (no corrections) (eV per atom) = -0.073
- crystal system = tetragonal
- electronic total energy (eV/atom) = -2.566



Q: Which value of formation energy (no corrections) does entry 4 give?
A: -0.215 eV per atom



Q: What is the formation energy (no corrections) in the sixth record?
A: -0.055 eV per atom